PBE-GGA La6Al3Ni4SnRu, relaxed; crystal system = hexagonal; calculated formation energy = -0.525 eV per atom
1.0
9.6358 0.0000 0.0000
-4.8179 8.3448 0.0000
0.0000 0.0000 4.2754
La Al Ni Sn Ru
6 3 4 1 1
Cartesian
-2.3082 4.2306 0.0000
0.0000 2.1009 2.1377
-2.9984 7.2944 2.1377
2.3082 4.2306 0.0000
0.0000 8.2285 0.0000
2.9984 7.2944 2.1377
3.4385 1.9852 2.1377
6.1973 1.9852 2.1377
4.8179 4.3744 2.1377
2.2706 1.3109 0.0000
4.8179 2.7816 0.0000
7.3652 1.3109 0.0000
4.8179 5.7230 0.0000
0.0000 5.5632 2.1377
0.0000 0.0000 0.0000

PBE-GGA La3AlNiS7, relaxed; crystal system = hexagonal; formation energy without anion corrections = -1.65 eV per atom
1.0
10.0558 0.0000 0.0000
-5.0279 8.7085 0.0000
0.0000 0.0000 6.2405
La Al Ni S
6 2 2 14
Cartesian
-0.3867 3.2567 0.0000
-2.0141 7.4151 0.0000
2.6270 1.9633 3.1202
2.4008 6.7452 0.0000
7.0420 1.2934 3.1202
5.4146 5.4518 3.1202
0.0000 5.8057 2.6441
5.0279 2.9028 5.7643
0.0000 0.0000 2.0060
0.0000 0.0000 5.1262
-0.2078 1.9184 3.6239
-1.9159 5.0081 1.7470
-3.2626 7.9293 3.6239
1.5575 1.1391 0.5037
0.0000 5.8057 4.8828
1.6487 4.5453 1.7470
0.2672 7.8637 1.7470
4.7607 0.8448 4.8672
3.3792 4.1633 4.8672
5.0279 2.9028 1.7625
3.4704 7.5694 3.6239
8.2905 0.7792 0.5037
6.9438 3.7005 4.8672
5.2357 6.7901 0.5037

PBE-GGA LaScAl2Ni, relaxed; crystal system = tetragonal; calculated formation energy = -0.315 eV per atom
1.0
4.6489 0.0000 0.0000
0.0000 4.6489 0.0000
0.0000 0.0000 4.9213
La Sc Al Ni
1 1 2 1
Cartesian
0.0000 0.0000 0.0000
2.3245 2.3245 0.0000
0.0000 2.3245 2.4607
2.3245 0.0000 2.4607
2.3245 2.3245 2.4607

PBE-GGA La2ScAl12Ni3, relaxed; crystal system = trigonal; calculated formation energy = -0.024 eV per atom
1.0
4.2237 2.4386 6.1871
-4.2237 2.4386 6.1871
0.0000 -4.8771 6.1871
La Sc Al Ni
2 1 12 3
Cartesian
0.0000 0.0000 1.4847
0.0000 0.0000 17.0766
0.0000 0.0000 9.2807
-2.6229 -1.5143 8.4231
0.0000 -1.8438 6.5688
-1.5968 0.9219 6.5688
0.0000 -3.0286 10.1382
-2.6229 1.5143 10.1382
-1.5968 -0.9219 11.9925
1.5968 0.9219 6.5688
2.6229 -1.5143 8.4231
0.0000 3.0286 8.4231
1.5968 -0.9219 11.9925
0.0000 1.8438 11.9925
2.6229 1.5143 10.1382
-2.1119 -1.2193 6.1871
-2.1118 1.2193 12.3742
0.0000 2.4386 6.1871

PBE-GGA La2AlNiSe, relaxed; crystal system = tetragonal; formation energy without anion corrections = -0.34 eV per atom
1.0
5.5524 0.0000 0.0000
0.0000 5.5524 0.0000
0.0000 0.0000 4.3460
La Al Ni Se
2 1 1 1
Cartesian
0.0000 2.7762 0.0000
2.7762 0.0000 0.0000
0.0000 0.0000 2.1730
2.7762 2.7762 0.0000
2.7762 2.7762 2.1730

PBE-GGA La2AlSiNi6, relaxed; crystal system = monoclinic; formation energy without anion corrections = -0.46 eV per atom
1.0
5.6436 -2.5271 0.0000
5.6436 2.5271 0.0000
-5.2297 0.0000 5.9376
La Al Si Ni
2 1 1 6
Cartesian
1.2319 0.0000 1.7442
4.8256 0.0000 4.1934
-2.6149 0.0000 2.9688
5.6436 0.0000 0.0000
4.2268 1.2597 1.3075
-1.9008 0.0000 5.3632
1.8307 1.2597 4.6301
4.2268 -1.2597 1.3075
7.9584 0.0000 0.5744
1.8307 -1.2597 4.6301

PBE-GGA LaAlSiNi3, relaxed; crystal system = orthorhombic; formation energy without anion corrections = -0.43 eV per atom
1.0
3.1509 -5.8596 0.0000
3.1509 5.8596 0.0000
0.0000 0.0000 5.5037
La Al Si Ni
2 2 2 6
Cartesian
3.1509 3.2439 4.1277
3.1509 -3.2439 1.3759
3.1509 0.1186 4.1277
3.1509 -0.1186 1.3759
3.1509 4.4959 1.3759
3.1509 -4.4959 4.1277
1.2412 0.0000 0.0000
1.2412 0.0000 2.7518
3.1509 2.2302 1.3759
3.1509 -2.2302 4.1277
5.0606 0.0000 0.0000
5.0606 0.0000 2.7518

PBE-GGA La2AlSi3Ni4, relaxed; crystal system = tetragonal; formation energy without anion corrections = -0.75 eV per atom
1.0
4.1156 0.0000 0.0000
0.0000 4.1156 0.0000
0.0000 0.0000 9.7746
La Al Si Ni
2 1 3 4
Cartesian
0.0000 2.0578 2.4037
2.0578 0.0000 7.3709
0.0000 0.0000 4.8873
0.0000 2.0578 8.5941
2.0578 0.0000 1.1805
2.0578 2.0578 4.8873
0.0000 0.0000 0.0000
0.0000 2.0578 6.1894
2.0578 0.0000 3.5852
2.0578 2.0578 0.0000

Number 1: spin magnetization 0.0 Bohr magnetons per cell, raw total energy -85.1 eV/cell. Number 2: spin magnetization 4.0 Bohr magnetons per cell, raw total energy -146.1 eV/cell. Number 3: spin magnetization 0.4 Bohr magnetons per cell, raw total energy -26.1 eV/cell. Number 4: spin magnetization 0.0 Bohr magnetons per cell, raw total energy -78.9 eV/cell. Number 5: spin magnetization 0.0 Bohr magnetons per cell, raw total energy -24.6 eV/cell. Number 6: spin magnetization 0.0 Bohr magnetons per cell, raw total energy -58.3 eV/cell. Number 7: spin magnetization 0.0 Bohr magnetons per cell, raw total energy -68.0 eV/cell. Number 8: spin magnetization 0.0 Bohr magnetons per cell, raw total energy -60.5 eV/cell.